A plane-wave DFT calculation with PBE was carried out for a geometry-optimized Mg2TaTiMn structure.

Final energy (eV/atom): -5.442
Energy above the lowest structure with this stoichiometry (eV/atom): 0.000
DOS at the Fermi energy (states/eV per cell): 3.56
Energy of formation from the pure elements (meV/atom): 979

a = 4.7490 Å, b = 4.7490 Å, c = 4.1669 Å
α = 90.00°, β = 90.00°, γ = 90.00°
Fractional coordinates of all 5 atoms:
Mg 0.0000 0.5000 0.0000
Mg 0.5000 0.0000 0.0000
Ta 0.0000 0.0000 0.5000
Ti 0.5000 0.5000 0.5000
Mn 0.5000 0.5000 0.0000